Record 1
The following is a DFT calculation (PBE-GGA) of a geometry-optimized TbDy2HoO6 structure.

abc: 5.816 5.816 6.073
angles: 61.39 61.39 60.00
Positions (direct):
1 Tb 0.307 0.307 0.079
2 Dy 0.524 0.524 0.427
3 Dy 0.025 0.025 0.925
4 Ho 0.808 0.808 0.575
5 O 0.626 0.208 0.252
6 O 0.208 0.914 0.252
7 O 0.914 0.626 0.252
8 O 0.418 0.709 0.751
9 O 0.709 0.122 0.751
10 O 0.122 0.418 0.751

Results
Symmetry: R3 (146)
Crystal system: trigonal

---

Record 2
The following is a DFT calculation (PBE-GGA) of a geometry-optimized Tb2DyHoO6 structure.

abc: 5.826 5.826 6.079
angles: 61.37 61.37 60.00
Positions (direct):
1 Tb 0.525 0.525 0.424
2 Tb 0.026 0.026 0.923
3 Dy 0.308 0.308 0.076
4 Ho 0.809 0.809 0.574
5 O 0.622 0.205 0.253
6 O 0.205 0.919 0.253
7 O 0.919 0.622 0.253
8 O 0.421 0.706 0.753
9 O 0.706 0.120 0.753
10 O 0.120 0.421 0.753

Results
Symmetry: R3 (146)
Crystal system: trigonal

---

VASP energy across the listed records, respectively: -83.555; -83.520 eV per cell.
DOS(E_F) across the listed records, respectively: 0.0000; 0.0000 states/eV per atom.